This record from the Alexandria database describes a relaxed SrCrF4 crystal. The functional is PBE+U.

Cell: 5.6489 5.8007 6.7819 Å, 110.44 109.63 100.85°
Site moments in Bohr magnetons follow the coordinates.
Atoms (fractional coordinates):
F 0.2151 0.3833 0.4517  0.00
F 0.7849 0.6167 0.5483  0.00
F 0.2634 0.9316 0.5483  0.00
Sr 0.3799 0.6299 0.2598  0.00
F 0.0562 0.7777 0.0183  0.01
F 0.4621 0.2405 0.0183  0.01
F 0.7366 0.0684 0.4517  0.00
Sr 0.6201 0.3701 0.7402  0.00
Cr 0.1440 0.8940 0.7879  3.81
Cr 0.8560 0.1060 0.2121  3.81
F 0.5379 0.7595 0.9817  0.01
F 0.9438 0.2223 0.9817  0.01

The symmetry is C2/c (15). The energy is -6.029 eV per atom. As for the excess energy over the best structure of this formula in the dataset: 29.2 meV/atom. For the magnetization, the calculation gives 4.000 μB per formula unit.